Entry 1:
Material: PuTlCr2O8
Method: DFT, PBE+U
State: optimized geometry

The total energy comes out at -7.593 eV/atom. The space group is P-3m1.

abc: 5.7990 5.7990 7.8288
angles: 90.00 90.00 120.00
With the nearest neighbours (Å) after each atom.
Fractional coordinates of all 12 atoms:
1 Pu 0.0000 0.0000 0.0000  6 O 2.17
2 Tl 0.0000 0.0000 0.5000  12 O 3.11-3.37
3 Cr 0.3333 0.6667 0.7565  4 O 1.63-1.73
4 Cr 0.6667 0.3333 0.2435  4 O 1.63-1.73
5 O 0.1714 0.3428 0.8308  1 Cr 1.73
6 O 0.1714 0.8286 0.8308  1 Cr 1.73
7 O 0.6572 0.8286 0.8308  1 Cr 1.73
8 O 0.3428 0.1714 0.1692  1 Cr 1.73
9 O 0.6667 0.3333 0.4515  1 Cr 1.63
10 O 0.3333 0.6667 0.5485  1 Cr 1.63
11 O 0.8286 0.6572 0.1692  1 Cr 1.73
12 O 0.8286 0.1714 0.1692  1 Cr 1.73

Entry 2:
Material: PuTl2CrO8
Method: DFT, PBE+U
State: optimized geometry

The total energy comes out at -6.958 eV/atom. The space group is P2/m.

abc: 5.1410 5.1291 6.4707
angles: 89.99 89.99 93.49
With the nearest neighbours (Å) after each atom.
Fractional coordinates of all 12 atoms:
1 Pu 0.0000 0.0000 0.0000  6 O 2.01-2.07
2 Tl 0.5000 0.5000 0.7397  4 O 2.17-2.22
3 Tl 0.5000 0.5000 0.2603  4 O 2.17-2.22
4 Cr 0.0000 0.0000 0.5000  6 O 2.00-2.09
5 O 0.1669 0.8301 0.2414  1 Pu 2.01, 1 Cr 2.09
6 O 0.7039 0.7071 0.0000  1 Pu 2.07, 2 Tl 2.22
7 O 0.8330 0.1698 0.2414  1 Pu 2.01, 1 Cr 2.09
8 O 0.8331 0.1699 0.7586  1 Pu 2.01, 1 Cr 2.09
9 O 0.2961 0.2929 0.0000  1 Pu 2.07, 2 Tl 2.22
10 O 0.1670 0.8302 0.7586  1 Pu 2.01, 1 Cr 2.09
11 O 0.7141 0.7177 0.5000  1 Cr 2.00, 2 Tl 2.17
12 O 0.2859 0.2823 0.5000  1 Cr 2.00, 2 Tl 2.17

Entry 3:
Material: PuTl2CrO6
Method: DFT, PBE+U
State: optimized geometry

The total energy comes out at -7.267 eV/atom. The space group is Fm-3m.

abc: 5.8385 5.8385 5.8385
angles: 60.00 60.00 60.00
With the nearest neighbours (Å) after each atom.
Fractional coordinates of all 10 atoms:
1 Pu 0.0000 0.0000 0.0000  6 O 2.07
2 Tl 0.7500 0.7500 0.7500  12 O 2.92
3 Tl 0.2500 0.2500 0.2500  12 O 2.92
4 Cr 0.5000 0.5000 0.5000  6 O 2.06
5 O 0.2502 0.7498 0.7498  1 Cr 2.06, 1 Pu 2.07
6 O 0.2502 0.7498 0.2502  1 Cr 2.06, 1 Pu 2.07
7 O 0.2502 0.2502 0.7498  1 Cr 2.06, 1 Pu 2.07
8 O 0.7498 0.7498 0.2502  1 Cr 2.06, 1 Pu 2.07
9 O 0.7498 0.2502 0.2502  1 Cr 2.06, 1 Pu 2.07
10 O 0.7498 0.2502 0.7498  1 Cr 2.06, 1 Pu 2.07

Entry 4:
Material: TmPuCrO6
Method: DFT, PBE+U
State: optimized geometry

The total energy comes out at -8.721 eV/atom. The space group is P-31c.

abc: 5.5112 5.5112 8.7042
angles: 90.00 90.00 120.00
With the nearest neighbours (Å) after each atom.
Fractional coordinates of all 18 atoms:
1 Tm 0.3333 0.6667 0.2500  6 O 2.23
2 Tm 0.6667 0.3333 0.7500  6 O 2.23
3 Pu 0.6667 0.3333 0.2500  6 O 2.08
4 Pu 0.3333 0.6667 0.7500  6 O 2.08
5 Cr 0.0000 0.0000 0.0000  6 O 2.10
6 Cr 0.0000 0.0000 0.5000  6 O 2.10
7 O 0.6860 0.6646 0.1247  1 Pu 2.08, 1 Cr 2.10, 1 Tm 2.23
8 O 0.9786 0.3140 0.1247  1 Pu 2.08, 1 Cr 2.10, 1 Tm 2.23
9 O 0.3140 0.9786 0.6247  1 Pu 2.08, 1 Cr 2.10, 1 Tm 2.23
10 O 0.0214 0.6860 0.8753  1 Pu 2.08, 1 Cr 2.10, 1 Tm 2.23
11 O 0.3354 0.3140 0.3753  1 Pu 2.08, 1 Cr 2.10, 1 Tm 2.23
12 O 0.9786 0.6646 0.3753  1 Pu 2.08, 1 Cr 2.10, 1 Tm 2.23
13 O 0.6646 0.9786 0.8753  1 Pu 2.08, 1 Cr 2.10, 1 Tm 2.23
14 O 0.6860 0.0214 0.3753  1 Pu 2.08, 1 Cr 2.10, 1 Tm 2.23
15 O 0.0214 0.3354 0.6247  1 Pu 2.08, 1 Cr 2.10, 1 Tm 2.23
16 O 0.3354 0.0214 0.1247  1 Pu 2.08, 1 Cr 2.10, 1 Tm 2.23
17 O 0.6646 0.6860 0.6247  1 Pu 2.08, 1 Cr 2.10, 1 Tm 2.23
18 O 0.3140 0.3354 0.8753  1 Pu 2.08, 1 Cr 2.10, 1 Tm 2.23

Entry 5:
Material: PuVCrO6
Method: DFT, PBE+U
State: optimized geometry

The total energy comes out at -8.725 eV/atom. The space group is P-31c.

abc: 5.2140 5.2140 8.8420
angles: 90.00 90.00 120.00
With the nearest neighbours (Å) after each atom.
Fractional coordinates of all 18 atoms:
1 Pu 0.3333 0.6667 0.2500  6 O 2.10
2 Pu 0.6667 0.3333 0.7500  6 O 2.10
3 V 0.6667 0.3333 0.2500  6 O 2.00
4 V 0.3333 0.6667 0.7500  6 O 2.00
5 Cr 0.0000 0.0000 0.0000  6 O 2.06
6 Cr 0.0000 0.0000 0.5000  6 O 2.06
7 O 0.6769 0.6612 0.1276  1 V 2.00, 1 Cr 2.06, 1 Pu 2.10
8 O 0.9844 0.3231 0.1276  1 V 2.00, 1 Cr 2.06, 1 Pu 2.10
9 O 0.3231 0.9844 0.6276  1 V 2.00, 1 Cr 2.06, 1 Pu 2.10
10 O 0.0156 0.6769 0.8724  1 V 2.00, 1 Cr 2.06, 1 Pu 2.10
11 O 0.3388 0.3231 0.3724  1 V 2.00, 1 Cr 2.06, 1 Pu 2.10
12 O 0.9844 0.6612 0.3724  1 V 2.00, 1 Cr 2.06, 1 Pu 2.10
13 O 0.6612 0.9844 0.8724  1 V 2.00, 1 Cr 2.06, 1 Pu 2.10
14 O 0.6769 0.0156 0.3724  1 V 2.00, 1 Cr 2.06, 1 Pu 2.10
15 O 0.0156 0.3388 0.6276  1 V 2.00, 1 Cr 2.06, 1 Pu 2.10
16 O 0.3388 0.0156 0.1276  1 V 2.00, 1 Cr 2.06, 1 Pu 2.10
17 O 0.6612 0.6769 0.6276  1 V 2.00, 1 Cr 2.06, 1 Pu 2.10
18 O 0.3231 0.3388 0.8724  1 V 2.00, 1 Cr 2.06, 1 Pu 2.10

Entry 6:
Material: YPuCrO6
Method: DFT, PBE+U
State: optimized geometry

The total energy comes out at -8.902 eV/atom. The space group is P-31c.

abc: 5.5639 5.5639 8.6912
angles: 90.00 90.00 120.00
With the nearest neighbours (Å) after each atom.
Fractional coordinates of all 18 atoms:
1 Y 0.3333 0.6667 0.2500  6 O 2.28
2 Y 0.6667 0.3333 0.7500  6 O 2.28
3 Pu 0.6667 0.3333 0.2500  6 O 2.08
4 Pu 0.3333 0.6667 0.7500  6 O 2.08
5 Cr 0.0000 0.0000 0.0000  6 O 2.10
6 Cr 0.0000 0.0000 0.5000  6 O 2.10
7 O 0.6908 0.6631 0.1237  1 Pu 2.08, 1 Cr 2.10, 1 Y 2.28
8 O 0.9724 0.3092 0.1237  1 Pu 2.08, 1 Cr 2.10, 1 Y 2.28
9 O 0.3092 0.9724 0.6237  1 Pu 2.08, 1 Cr 2.10, 1 Y 2.28
10 O 0.0276 0.6908 0.8763  1 Pu 2.08, 1 Cr 2.10, 1 Y 2.28
11 O 0.3369 0.3092 0.3763  1 Pu 2.08, 1 Cr 2.10, 1 Y 2.28
12 O 0.9724 0.6631 0.3763  1 Pu 2.08, 1 Cr 2.10, 1 Y 2.28
13 O 0.6631 0.9724 0.8763  1 Pu 2.08, 1 Cr 2.10, 1 Y 2.28
14 O 0.6908 0.0276 0.3763  1 Pu 2.08, 1 Cr 2.10, 1 Y 2.28
15 O 0.0276 0.3369 0.6237  1 Pu 2.08, 1 Cr 2.10, 1 Y 2.28
16 O 0.3369 0.0276 0.1237  1 Pu 2.08, 1 Cr 2.10, 1 Y 2.28
17 O 0.6631 0.6908 0.6237  1 Pu 2.08, 1 Cr 2.10, 1 Y 2.28
18 O 0.3092 0.3369 0.8763  1 Pu 2.08, 1 Cr 2.10, 1 Y 2.28

Entry 7:
Material: PuZn2CrO8
Method: DFT, PBE+U
State: optimized geometry

The total energy comes out at -6.710 eV/atom. The space group is I-4m2.

abc: 5.7944 5.7944 5.7944
angles: 113.63 113.63 101.45
With the nearest neighbours (Å) after each atom.
Fractional coordinates of all 12 atoms:
1 Pu 0.2500 0.7500 0.5000  4 O 1.92
2 Zn 0.7500 0.2500 0.5000  4 O 1.97
3 Zn 0.5000 0.5000 0.0000  4 O 1.95
4 Cr 0.0000 0.0000 0.0000  4 O 1.80
5 O 0.3400 0.0676 0.2724  1 Cr 1.80, 1 Zn 1.97
6 O 0.3015 0.5051 0.2036  1 Pu 1.92, 1 Zn 1.95
7 O 0.3015 0.0979 0.7964  1 Pu 1.92, 1 Zn 1.95
8 O 0.7952 0.0676 0.7276  1 Cr 1.80, 1 Zn 1.97
9 O 0.9021 0.6985 0.2036  1 Pu 1.92, 1 Zn 1.95
10 O 0.9324 0.2048 0.2724  1 Cr 1.80, 1 Zn 1.97
11 O 0.9324 0.6600 0.7276  1 Cr 1.80, 1 Zn 1.97
12 O 0.4949 0.6985 0.7964  1 Pu 1.92, 1 Zn 1.95

Entry 8:
Material: PuZnCrO6
Method: DFT, PBE+U
State: optimized geometry

The total energy comes out at -7.791 eV/atom. The space group is P-31c.

abc: 5.2300 5.2300 9.0771
angles: 90.00 90.00 120.00
With the nearest neighbours (Å) after each atom.
Fractional coordinates of all 18 atoms:
1 Pu 0.3333 0.6667 0.2500  6 O 2.03
2 Pu 0.6667 0.3333 0.7500  6 O 2.03
3 Zn 0.0000 0.0000 0.0000  6 O 2.17
4 Zn 0.0000 0.0000 0.5000  6 O 2.17
5 Cr 0.6667 0.3333 0.2500  6 O 2.01
6 Cr 0.3333 0.6667 0.7500  6 O 2.01
7 O 0.6562 0.6539 0.1327  1 Cr 2.01, 1 Pu 2.03, 1 Zn 2.17
8 O 0.9977 0.3438 0.1327  1 Cr 2.01, 1 Pu 2.03, 1 Zn 2.17
9 O 0.3438 0.9977 0.6327  1 Cr 2.01, 1 Pu 2.03, 1 Zn 2.17
10 O 0.0023 0.6562 0.8673  1 Cr 2.01, 1 Pu 2.03, 1 Zn 2.17
11 O 0.3461 0.3438 0.3673  1 Cr 2.01, 1 Pu 2.03, 1 Zn 2.17
12 O 0.9977 0.6539 0.3673  1 Cr 2.01, 1 Pu 2.03, 1 Zn 2.17
13 O 0.6539 0.9977 0.8673  1 Cr 2.01, 1 Pu 2.03, 1 Zn 2.17
14 O 0.6562 0.0023 0.3673  1 Cr 2.01, 1 Pu 2.03, 1 Zn 2.17
15 O 0.0023 0.3461 0.6327  1 Cr 2.01, 1 Pu 2.03, 1 Zn 2.17
16 O 0.3461 0.0023 0.1327  1 Cr 2.01, 1 Pu 2.03, 1 Zn 2.17
17 O 0.6539 0.6562 0.6327  1 Cr 2.01, 1 Pu 2.03, 1 Zn 2.17
18 O 0.3438 0.3461 0.8673  1 Cr 2.01, 1 Pu 2.03, 1 Zn 2.17

Q: Number 2 is which compound?
A: PuTl2CrO8